The following is a PBE calculation of an optimized crystal structure of Ac2MgSi3Pd4, from the Alexandria database.

Cell and atoms, written as POSCAR:
```
Ac2MgSi3Pd4
1.0
4.390 0.000 0.000
0.000 4.390 0.000
0.000 0.000 10.404
Ac Mg Si Pd
2 1 3 4
Cartesian
0.000 2.195 2.558 Ac
2.195 0.000 7.846 Ac
0.000 0.000 5.202 Mg
0.000 2.195 9.140 Si
2.195 0.000 1.263 Si
2.195 2.195 5.202 Si
0.000 0.000 0.000 Pd
0.000 2.195 6.634 Pd
2.195 0.000 3.769 Pd
2.195 2.195 0.000 Pd
```

Summary:
* formation energy without anion corrections: -0.83 eV/atom
* Fermi-level density of states: 0.337 states/eV/atom